Below is a geometry-optimized YTcO4 structure, with properties calculated at the GGA-PBE level.

ΔE_f (raw), eV per atom: -2.278
Calculated volume, Å³ per cell: 299.23
Magnetization, Bohr magnetons per cell: 4.0
SG: P2_1/c (14)

Cell lengths 5.3293, 7.6166, 7.4754 Å; angles 99.55, 90.00, 90.00 degrees
Fractional coordinates of all 24 atoms:
Y: 0.7139 0.3512 0.6066
Y: 0.7861 0.3512 0.1066
Y: 0.2139 0.6488 0.8934
Y: 0.2861 0.6488 0.3934
Tc: 0.2307 0.1622 0.7988
Tc: 0.2693 0.1622 0.2988
Tc: 0.7307 0.8378 0.7012
Tc: 0.7693 0.8378 0.2012
O: 0.9040 0.0589 0.7018
O: 0.5960 0.0589 0.2018
O: 0.3559 0.1706 0.5555
O: 0.1441 0.1706 0.0555
O: 0.5078 0.3178 0.8777
O: 0.0142 0.3892 0.8260
O: 0.9922 0.3178 0.3777
O: 0.4858 0.3892 0.3260
O: 0.5142 0.6108 0.6740
O: 0.0078 0.6822 0.6223
O: 0.9858 0.6108 0.1740
O: 0.4922 0.6822 0.1223
O: 0.8559 0.8294 0.9445
O: 0.6441 0.8294 0.4445
O: 0.4040 0.9411 0.7982
O: 0.0960 0.9411 0.2982

Below is a geometry-optimized YTc3O structure, with properties calculated at the GGA-PBE level.

ΔE_f (raw), eV per atom: 2.907
Calculated volume, Å³ per cell: 131.40
Magnetization, Bohr magnetons per cell: 9.9
SG: Pm-3m (221)

Cell lengths 5.0839, 5.0839, 5.0839 Å; angles 90.00, 90.00, 90.00 degrees
Fractional coordinates of all 5 atoms:
Y: 0.0000 0.0000 0.0000
Tc: 0.0000 0.5000 0.0000
Tc: 0.0000 0.0000 0.5000
Tc: 0.5000 0.0000 0.0000
O: 0.5000 0.5000 0.5000

Below is a geometry-optimized YTc2O2 structure, with properties calculated at the GGA-PBE level.

ΔE_f (raw), eV per atom: -0.596
Calculated volume, Å³ per cell: 69.80
Magnetization, Bohr magnetons per cell: 0.0
SG: I4/mmm (139)

Cell lengths 4.0044, 4.0044, 5.1926 Å; angles 67.32, 67.32, 90.00 degrees
Fractional coordinates of all 5 atoms:
Y: 0.0000 0.0000 0.0000
Tc: 0.3733 0.3733 0.2535
Tc: 0.6267 0.6267 0.7465
O: 0.7500 0.2500 0.5000
O: 0.2500 0.7500 0.5000

Below is a geometry-optimized ZnTc2O2 structure, with properties calculated at the GGA-PBE level.

ΔE_f (raw), eV per atom: 0.148
Calculated volume, Å³ per cell: 124.85
Magnetization, Bohr magnetons per cell: 0.0
SG: P4/mbm (127)

Cell lengths 6.8760, 6.8760, 2.6407 Å; angles 90.00, 90.00, 90.00 degrees
Fractional coordinates of all 10 atoms:
Zn: 0.0000 0.0000 0.0000
Zn: 0.5000 0.5000 0.0000
Tc: 0.3687 0.8687 0.0000
Tc: 0.8687 0.6313 0.0000
Tc: 0.6313 0.1313 0.0000
Tc: 0.1313 0.3687 0.0000
O: 0.1241 0.6241 0.5000
O: 0.6241 0.8759 0.5000
O: 0.8759 0.3759 0.5000
O: 0.3759 0.1241 0.5000

Below is a geometry-optimized ZnTc2O2 structure, with properties calculated at the GGA-PBE level.

ΔE_f (raw), eV per atom: -0.349
Calculated volume, Å³ per cell: 58.81
Magnetization, Bohr magnetons per cell: 0.0
SG: I4/mmm (139)

Cell lengths 3.3274, 3.3274, 5.8098 Å; angles 73.36, 73.36, 90.00 degrees
Fractional coordinates of all 5 atoms:
Zn: 0.0000 0.0000 0.0000
Tc: 0.3707 0.3707 0.2587
Tc: 0.6293 0.6293 0.7413
O: 0.7500 0.2500 0.5000
O: 0.2500 0.7500 0.5000

Below is a geometry-optimized ZnTcO structure, with properties calculated at the GGA-PBE level.

ΔE_f (raw), eV per atom: -0.553
Calculated volume, Å³ per cell: 73.68
Magnetization, Bohr magnetons per cell: 0.0
SG: C2/m (12)

Cell lengths 5.7350, 5.7350, 7.5405 Å; angles 41.37, 41.37, 27.94 degrees
Fractional coordinates of all 6 atoms:
Tc: 0.7798 0.7798 0.9362
Tc: 0.9733 0.9733 0.3712
Zn: 0.6372 0.6372 0.4441
Zn: 0.1160 0.1160 0.8632
O: 0.3057 0.3057 0.4275
O: 0.4475 0.4475 0.8799

Below is a geometry-optimized Zn3TcO3 structure, with properties calculated at the GGA-PBE level.

ΔE_f (raw), eV per atom: -0.340
Calculated volume, Å³ per cell: 192.04
Magnetization, Bohr magnetons per cell: 8.7
SG: Pm-3n (223)

Cell lengths 5.7694, 5.7694, 5.7694 Å; angles 90.00, 90.00, 90.00 degrees
Fractional coordinates of all 14 atoms:
Zn: 0.2500 0.0000 0.5000
Zn: 0.7500 0.0000 0.5000
Zn: 0.0000 0.5000 0.2500
Zn: 0.0000 0.5000 0.7500
Zn: 0.5000 0.2500 0.0000
Zn: 0.5000 0.7500 0.0000
Tc: 0.0000 0.0000 0.0000
Tc: 0.5000 0.5000 0.5000
O: 0.2500 0.5000 0.0000
O: 0.7500 0.5000 0.0000
O: 0.5000 0.0000 0.2500
O: 0.5000 0.0000 0.7500
O: 0.0000 0.2500 0.5000
O: 0.0000 0.7500 0.5000

Below is a geometry-optimized ZnTc2O6 structure, with properties calculated at the GGA-PBE level.

ΔE_f (raw), eV per atom: -1.320
Calculated volume, Å³ per cell: 290.42
Magnetization, Bohr magnetons per cell: 0.0
SG: P321 (150)

Cell lengths 4.4638, 8.6675, 8.6675 Å; angles 120.00, 90.00, 90.00 degrees
Fractional coordinates of all 27 atoms:
Zn: 0.4986 0.3333 0.6667
Zn: 0.0000 0.0000 0.0000
Zn: 0.5014 0.6667 0.3333
Tc: 0.0000 0.6551 0.6551
Tc: 0.5000 0.3212 0.3212
Tc: 0.0000 0.0000 0.3449
Tc: 0.5000 0.6788 0.0000
Tc: 0.5000 0.0000 0.6788
Tc: 0.0000 0.3449 0.0000
O: 0.2433 0.7628 0.8785
O: 0.7443 0.5713 0.7811
O: 0.2514 0.4448 0.5408
O: 0.2514 0.4592 0.9040
O: 0.7443 0.2097 0.4287
O: 0.2433 0.1157 0.2372
O: 0.7443 0.2189 0.7903
O: 0.7567 0.8843 0.1215
O: 0.2514 0.0960 0.5552
O: 0.2433 0.1215 0.8843
O: 0.2557 0.7903 0.2189
O: 0.7486 0.9040 0.4592
O: 0.7486 0.5552 0.0960
O: 0.2557 0.7811 0.5713
O: 0.7567 0.8785 0.7628
O: 0.2557 0.4287 0.2097
O: 0.7486 0.5408 0.4448
O: 0.7567 0.2372 0.1157